Model i:
The following is a PBE calculation of an optimized crystal structure of OsRu2Rh, from Alexandria.

Cell: 2.733 4.729 9.681 Å, 113.93 98.10 90.03°
Fractional coordinates of all 8 atoms:
Os  0.793  0.983  0.072
Os  0.293  0.483  0.072
Ru  0.171  0.946  0.828
Ru  0.915  0.851  0.315
Ru  0.414  0.351  0.315
Ru  0.671  0.446  0.828
Rh  0.542  0.895  0.568
Rh  0.042  0.395  0.568

***

Model ii:
The following is a PBE calculation of an optimized crystal structure of OsRu2Rh, from Alexandria.

Cell: 8.956 8.956 8.956 Å, 17.49 17.49 17.49°
Fractional coordinates of all 4 atoms:
Rh  0.750  0.750  0.750
Os  0.250  0.250  0.250
Ru  0.999  0.999  0.999
Ru  0.501  0.501  0.501

***

Most stable of them? model i.

***

Model i:
The following is a PBE calculation of an optimized crystal structure of OsRu2Rh, from Alexandria.

Cell: 4.695 4.695 4.708 Å, 80.57 80.57 33.45°
Fractional coordinates of all 4 atoms:
Rh  0.750  0.750  0.750
Os  0.250  0.250  0.250
Ru  0.997  0.997  0.005
Ru  0.503  0.503  0.495

***

Model ii:
The following is a PBE calculation of an optimized crystal structure of OsRu2Rh, from Alexandria.

Cell: 3.851 2.703 6.051 Å, 63.45 90.00 90.00°
Fractional coordinates of all 4 atoms:
Rh  0.500  0.750  0.750
Os  0.000  0.504  0.496
Ru  0.000  0.997  0.004
Ru  0.500  0.249  0.251

***

Model iii:
The following is a PBE calculation of an optimized crystal structure of OsRu2Rh, from Alexandria.

Cell: 8.956 8.956 8.956 Å, 17.48 17.48 17.48°
Fractional coordinates of all 4 atoms:
Rh  0.750  0.750  0.750
Os  0.501  0.501  0.501
Ru  0.999  0.999  0.999
Ru  0.250  0.250  0.250

***

Most stable of them? model i.

***

Model i:
The following is a PBE calculation of an optimized crystal structure of OsRu2Rh, from Alexandria.

Cell: 4.678 4.678 4.678 Å, 131.44 131.44 71.11°
Fractional coordinates of all 4 atoms:
Os  0.250  0.750  0.500
Rh  0.750  0.250  0.500
Ru  0.000  0.000  0.000
Ru  0.500  0.500  0.000

***

Model ii:
The following is a PBE calculation of an optimized crystal structure of OsRu2Rh, from Alexandria.

Cell: 4.342 4.342 4.342 Å, 60.00 60.00 60.00°
Fractional coordinates of all 4 atoms:
Rh  0.000  0.000  0.000
Os  0.500  0.500  0.500
Ru  0.250  0.250  0.250
Ru  0.750  0.750  0.750

***

Most stable of them? model i.

***

Model i:
The following is a PBE calculation of an optimized crystal structure of OsRu2Rh, from Alexandria.

Cell: 3.839 3.839 3.821 Å, 90.00 90.00 90.00°
Fractional coordinates of all 4 atoms:
Os  0.500  0.000  0.500
Rh  0.000  0.500  0.500
Ru  0.000  0.000  0.000
Ru  0.500  0.500  0.000

***

Model ii:
The following is a PBE calculation of an optimized crystal structure of OsRu2Rh, from Alexandria.

Cell: 3.850 3.840 8.092 Å, 103.72 103.76 90.00°
Fractional coordinates of all 8 atoms:
Os  0.437  0.687  0.873
Os  0.563  0.313  0.127
Ru  0.815  0.565  0.629
Ru  0.185  0.435  0.371
Ru  0.690  0.940  0.379
Ru  0.310  0.060  0.621
Rh  0.063  0.813  0.125
Rh  0.937  0.187  0.875

***

Most stable of them? model ii.

***

Model i:
The following is a PBE calculation of an optimized crystal structure of OsRu2Rh, from Alexandria.

Cell: 2.712 2.712 7.676 Å, 90.00 90.00 90.00°
Fractional coordinates of all 4 atoms:
Os  0.500  0.500  0.250
Rh  0.500  0.500  0.750
Ru  0.000  0.000  0.003
Ru  0.000  0.000  0.497

***

Model ii:
The following is a PBE calculation of an optimized crystal structure of OsRu2Rh, from Alexandria.

Cell: 5.543 5.543 6.707 Å, 65.59 65.59 90.00°
Fractional coordinates of all 8 atoms:
Rh  0.500  0.500  0.000
Rh  0.250  0.750  0.500
Os  0.000  0.000  0.000
Os  0.750  0.250  0.500
Ru  0.628  0.125  0.250
Ru  0.122  0.625  0.250
Ru  0.375  0.372  0.750
Ru  0.875  0.878  0.750

***

Most stable of them? model i.

***

Model i:
The following is a PBE calculation of an optimized crystal structure of OsRu2Rh8, from Alexandria.

Cell: 4.446 6.614 6.614 Å, 73.57 78.54 78.54°
Fractional coordinates of all 11 atoms:
Os  0.000  0.000  0.000
Ru  0.449  0.139  0.139
Ru  0.551  0.861  0.861
Rh  0.787  0.189  0.646
Rh  0.213  0.354  0.811
Rh  0.878  0.246  0.246
Rh  0.122  0.754  0.754
Rh  0.787  0.646  0.189
Rh  0.213  0.811  0.354
Rh  0.281  0.403  0.403
Rh  0.719  0.597  0.597

***

Model ii:
The following is a PBE calculation of an optimized crystal structure of OsRu2Rh8, from Alexandria.

Cell: 4.087 6.459 6.459 Å, 103.80 90.00 90.00°
Fractional coordinates of all 11 atoms:
Os  0.500  0.000  0.000
Ru  0.000  0.619  0.381
Ru  0.000  0.381  0.619
Rh  0.000  0.964  0.703
Rh  0.000  0.703  0.964
Rh  0.500  0.668  0.668
Rh  0.500  0.250  0.750
Rh  0.500  0.750  0.250
Rh  0.500  0.332  0.332
Rh  0.000  0.297  0.036
Rh  0.000  0.036  0.297

***

Most stable of them? model ii.

***

Model i:
The following is a PBE calculation of an optimized crystal structure of Os2RuRh2, from Alexandria.

Cell: 3.566 3.566 6.782 Å, 74.76 74.76 90.00°
Fractional coordinates of all 5 atoms:
Rh  0.402  0.402  0.196
Rh  0.598  0.598  0.804
Os  0.750  0.250  0.500
Os  0.250  0.750  0.500
Ru  0.000  0.000  0.000

***

Model ii:
The following is a PBE calculation of an optimized crystal structure of Os2RuRh2, from Alexandria.

Cell: 7.408 7.408 2.724 Å, 90.00 90.00 90.00°
Fractional coordinates of all 10 atoms:
Rh  0.377  0.877  0.000
Rh  0.877  0.623  0.000
Rh  0.623  0.123  0.000
Rh  0.123  0.377  0.000
Os  0.174  0.674  0.500
Os  0.674  0.826  0.500
Os  0.826  0.326  0.500
Os  0.326  0.174  0.500
Ru  0.000  0.000  0.000
Ru  0.500  0.500  0.000

***

Most stable of them? model ii.

***

Model i:
The following is a PBE calculation of an optimized crystal structure of OsRu4Rh, from Alexandria.

Cell: 7.221 7.221 4.326 Å, 90.00 90.00 158.11°
Fractional coordinates of all 6 atoms:
Os  0.363  0.637  0.000
Ru  0.473  0.527  0.500
Ru  0.809  0.191  0.500
Ru  0.696  0.304  0.000
Ru  0.028  0.972  0.000
Rh  0.142  0.858  0.500

***

Model ii:
The following is a PBE calculation of an optimized crystal structure of OsRu4Rh, from Alexandria.

Cell: 5.011 5.011 5.011 Å, 60.00 60.00 60.00°
Fractional coordinates of all 6 atoms:
Os  0.750  0.750  0.750
Ru  0.876  0.375  0.375
Ru  0.375  0.375  0.876
Ru  0.375  0.876  0.375
Ru  0.375  0.375  0.375
Rh  0.000  0.000  0.000

***

Most stable of them? model i.

***

Model i:
The following is a PBE calculation of an optimized crystal structure of OsRuRh4, from Alexandria.

Cell: 5.014 5.014 5.014 Å, 60.00 60.00 60.00°
Fractional coordinates of all 6 atoms:
Os  0.000  0.000  0.000
Ru  0.250  0.250  0.250
Rh  0.625  0.625  0.125
Rh  0.625  0.125  0.625
Rh  0.625  0.625  0.625
Rh  0.125  0.625  0.625

***

Model ii:
The following is a PBE calculation of an optimized crystal structure of OsRuRh4, from Alexandria.

Cell: 2.721 7.205 8.825 Å, 90.00 90.00 100.89°
Fractional coordinates of all 12 atoms:
Os  0.777  0.554  0.516
Os  0.223  0.446  0.016
Ru  0.666  0.332  0.771
Ru  0.334  0.668  0.271
Rh  0.998  0.997  0.269
Rh  0.002  0.003  0.769
Rh  0.887  0.774  0.019
Rh  0.113  0.226  0.519
Rh  0.672  0.344  0.265
Rh  0.328  0.656  0.765
Rh  0.444  0.887  0.519
Rh  0.556  0.113  0.019

***

Most stable of them? model ii.

***

Model i:
The following is a PBE calculation of an optimized crystal structure of Os3RuRh, from Alexandria.

Cell: 4.755 6.995 9.117 Å, 110.82 90.00 90.00°
Fractional coordinates of all 20 atoms:
Os  0.834  0.453  0.603
Os  0.666  0.953  0.103
Os  0.331  0.650  0.699
Os  0.831  0.850  0.801
Os  0.669  0.350  0.301
Os  0.166  0.547  0.397
Os  0.170  0.350  0.800
Os  0.830  0.650  0.200
Os  0.334  0.047  0.897
Os  0.169  0.150  0.199
Os  0.330  0.850  0.300
Os  0.670  0.150  0.700
Ru  0.166  0.952  0.603
Ru  0.666  0.548  0.897
Ru  0.834  0.048  0.397
Ru  0.334  0.452  0.103
Rh  0.665  0.751  0.501
Rh  0.335  0.249  0.499
Rh  0.835  0.251  0.001
Rh  0.165  0.749  0.999

***

Model ii:
The following is a PBE calculation of an optimized crystal structure of Os3RuRh, from Alexandria.

Cell: 4.598 4.598 4.598 Å, 90.00 90.00 90.00°
Fractional coordinates of all 5 atoms:
Rh  0.500  0.500  0.500
Os  0.000  0.500  0.000
Os  0.000  0.000  0.500
Os  0.500  0.000  0.000
Ru  0.000  0.000  0.000

***

Most stable of them? model i.

***

Model i:
The following is a PBE calculation of an optimized crystal structure of Os2RuRh8, from Alexandria.

Cell: 3.834 6.068 7.196 Å, 104.57 105.45 90.00°
Fractional coordinates of all 11 atoms:
Os  0.227  0.629  0.453
Os  0.773  0.371  0.547
Ru  0.500  0.000  0.000
Rh  0.593  0.450  0.186
Rh  0.318  0.086  0.636
Rh  0.136  0.185  0.272
Rh  0.048  0.729  0.096
Rh  0.864  0.815  0.728
Rh  0.682  0.914  0.364
Rh  0.407  0.550  0.814
Rh  0.952  0.271  0.904

***

Model ii:
The following is a PBE calculation of an optimized crystal structure of Os2RuRh8, from Alexandria.

Cell: 4.447 6.610 6.610 Å, 73.87 78.88 78.88°
Fractional coordinates of all 11 atoms:
Os  0.445  0.138  0.138
Os  0.555  0.862  0.862
Ru  0.000  0.000  0.000
Rh  0.778  0.186  0.643
Rh  0.222  0.357  0.814
Rh  0.875  0.246  0.246
Rh  0.125  0.754  0.754
Rh  0.778  0.643  0.186
Rh  0.222  0.814  0.357
Rh  0.279  0.405  0.405
Rh  0.721  0.595  0.595

***

Most stable of them? model i.

***

Model i:
The following is a PBE calculation of an optimized crystal structure of Os2RuRh4, from Alexandria.

Cell: 5.246 5.246 5.246 Å, 103.25 103.25 122.79°
Fractional coordinates of all 7 atoms:
Os  0.250  0.750  0.500
Os  0.750  0.250  0.500
Ru  0.500  0.500  0.000
Rh  0.199  0.199  0.398
Rh  0.801  0.199  0.000
Rh  0.199  0.801  0.000
Rh  0.801  0.801  0.602

***

Model ii:
The following is a PBE calculation of an optimized crystal structure of Os2RuRh4, from Alexandria.

Cell: 4.630 4.630 7.064 Å, 130.95 77.90 108.76°
Fractional coordinates of all 7 atoms:
Os  0.500  0.000  0.500
Os  0.500  0.500  0.000
Ru  0.000  0.000  0.000
Rh  0.000  0.756  0.255
Rh  0.499  0.745  0.745
Rh  0.501  0.255  0.255
Rh  0.000  0.244  0.745

***

Most stable of them? model ii.